(1)
This record from Alexandria describes an optimized crystal structure of GaBiTe2N. The functional is PBE-GGA.

Structure (POSCAR):
```
GaBiTe2N
1.0
-2.092 -3.934 -4.096
4.962 -3.389 0.720
-2.026 -2.280 3.225
Ga Te Bi N
1 2 1 1
Direct
0.500 0.500 0.500
0.000 0.500 0.000
0.500 0.000 0.000
0.000 0.000 0.000
0.000 0.000 0.500
```

Computed properties:
formation energy (no corrections)	920.5	meV/atom
total magnetization	0.456	μB/atom
excess energy over the best structure of this formula in the dataset	0.419	eV per atom
space-group type	P4/mmm
ρ	5.60	g cm⁻³
Fermi-level density of states	5.13	states/eV/cell

=====

(2)
This record from Alexandria describes an optimized crystal structure of GaBiTe2N. The functional is PBE-GGA.

Structure (POSCAR):
```
GaBiTe2N
1.0
5.866 0.000 0.000
0.000 5.866 0.000
0.000 0.000 3.583
Bi Te Ga N
1 2 1 1
Direct
0.500 0.500 0.500
0.000 0.500 0.000
0.500 0.000 0.000
0.000 0.000 0.000
0.000 0.000 0.500
```

Computed properties:
formation energy (no corrections)	501.6	meV/atom
total magnetization	0.008	μB/atom
excess energy over the best structure of this formula in the dataset	0.000	eV per atom
space-group type	P4/mmm
ρ	7.38	g cm⁻³
Fermi-level density of states	3.72	states/eV/cell

=====

(3)
This record from Alexandria describes an optimized crystal structure of VGaBiN2. The functional is PBE-GGA.

Structure (POSCAR):
```
VGaBiN2
1.0
-1.252 2.097 -3.032
-4.612 0.698 2.386
1.359 3.239 1.679
V N Ga Bi
1 2 1 1
Direct
0.000 0.000 0.000
0.000 0.000 0.500
0.500 0.000 0.000
0.000 0.500 0.000
0.500 0.500 0.500
```

Computed properties:
formation energy (no corrections)	548.4	meV/atom
total magnetization	0.000	μB/atom
space-group type	P4/mmm
ρ	7.48	g cm⁻³
Fermi-level density of states	3.63	states/eV/cell

=====

Which of these has the highest formation energy (no corrections)?
number 1